No. 1
This record from Alexandria describes a relaxed CeEr2In crystal. The functional is PBE.

```
4
Lattice="-3.888 -1.541 2.099 -1.641 -1.682 -4.274 2.162 -4.287 0.857" Properties=species:S:1:pos:R:3 pbc="T T T"
In -1.944 -0.771 1.050
Ce -1.683 -3.755 -0.659
Er 1.081 -2.143 0.428
Er -0.820 -0.841 -2.137
```

Properties
Space-group type = P4/mmm (123)
Formation energy from the elements = -4.86 kcal/mol of atoms
ΔE to the lowest computed polymorph = 0.0 meV per atom
Calculated volume = 27.8 Å³/atom



No. 2
This record from Alexandria describes a relaxed TbY6Al crystal. The functional is PBE.

```
8
Lattice="9.239 0.019 0.128 4.611 7.182 -0.289 4.565 2.296 3.670" Properties=species:S:1:pos:R:3 pbc="T T T"
Tb 9.207 4.749 1.754
Y 5.848 4.916 2.657
Y 14.754 8.572 2.453
Y 7.011 2.100 0.613
Y 3.661 0.925 1.055
Y 12.566 4.582 0.851
Y 11.404 7.397 2.895
Al 0.000 0.000 0.000
```

Properties
Space-group type = R-3 (148)
Formation energy from the elements = 0.64 kcal/mol of atoms
Calculated volume = 30.8 Å³/atom



No. 3
This record from Alexandria describes a relaxed LuThBiPb crystal. The functional is PBE.

```
4
Lattice="-3.813 -1.840 3.506 -2.954 -4.465 -1.247 0.823 -4.693 2.740" Properties=species:S:1:pos:R:3 pbc="T T T"
Pb -1.486 -2.750 1.250
Lu -2.972 -5.499 2.500
Bi -4.458 -8.249 3.750
Th 0.000 0.000 0.000
```

Properties
Space-group type = F-43m (216)
Formation energy from the elements = -7.39 kcal/mol of atoms
Calculated volume = 29.4 Å³/atom



No. 4
This record from Alexandria describes a relaxed CaNdHoZn crystal. The functional is PBE.

```
4
Lattice="3.584 0.000 0.000 0.000 3.584 0.000 0.000 0.000 9.232" Properties=species:S:1:pos:R:3 pbc="T T T"
Ca 0.000 0.000 1.163
Nd 1.792 1.792 7.369
Ho 0.000 0.000 4.819
Zn 1.792 1.792 3.127
```

Properties
Space-group type = P4mm (99)
Formation energy from the elements = -2.95 kcal/mol of atoms
Calculated volume = 29.6 Å³/atom



No. 5
This record from Alexandria describes a relaxed Pr2CdNi4Ge3 crystal. The functional is PBE.

```
10
Lattice="4.219 0.000 0.000 0.000 4.219 0.000 0.000 0.000 9.977" Properties=species:S:1:pos:R:3 pbc="T T T"
Pr 2.110 0.000 2.394
Pr 0.000 2.110 7.583
Cd 2.110 2.110 4.988
Ni 2.110 2.110 0.000
Ni 0.000 0.000 0.000
Ni 2.110 0.000 6.416
Ni 0.000 2.110 3.561
Ge 0.000 0.000 4.988
Ge 2.110 0.000 8.772
Ge 0.000 2.110 1.205
```

Properties
Space-group type = P-4m2 (115)
Formation energy from the elements = -12.65 kcal/mol of atoms
Calculated volume = 17.8 Å³/atom



No. 6
This record from Alexandria describes a relaxed Tb2SmIn2 crystal. The functional is PBE.

```
5
Lattice="-1.055 -3.135 -0.996 2.662 -1.972 3.387 -7.962 1.473 3.801" Properties=species:S:1:pos:R:3 pbc="T T T"
Tb -2.469 0.181 2.046
Tb -2.832 -0.681 5.142
Sm 0.000 0.000 0.000
In -0.647 -2.447 2.397
In -5.709 -1.187 3.795
```

Properties
Space-group type = Cmmm (65)
Formation energy from the elements = -5.96 kcal/mol of atoms
ΔE to the lowest computed polymorph = 126.2 meV per atom
Calculated volume = 28.2 Å³/atom



Q: Look up the calculated volume of the second one.
A: 30.8 Å³/atom